Entry 1:
VASP calculation (PBE) on a relaxed Ac7Ni3 crystal.

Calculated values
Magnetic moment (μB per atom): 0.000
Final energy (eV/atom): -4.7767
Formation energy (eV/atom): -0.166

Structure (extended XYZ):
```
20
Lattice="6.8074 0.0000 0.0000 0.0000 9.1568 -5.2867 0.0000 0.0000 10.5733" Properties=species:S:1:pos:R:3 pbc="T T T"
Ac 3.0085 1.1524 1.9960
Ac 4.1461 4.9557 1.9898
Ac 4.1461 8.4021 0.0000
Ac 0.7424 4.2011 7.2764
Ac 6.4122 8.0044 3.2906
Ac 6.4122 2.3048 0.0000
Ac 4.1462 4.9557 -1.9898
Ac 3.0085 1.1524 8.5773
Ac 3.0085 6.8519 5.2867
Ac 0.9920 6.1045 0.0000
Ac 0.7424 4.2011 3.2969
Ac 4.3957 3.0523 5.2867
Ac 6.4122 8.0044 -3.2906
Ac 0.7424 0.7547 5.2867
Ni 5.9208 1.7240 7.5872
Ni 2.5171 7.4327 -2.3006
Ni 2.5171 7.4327 2.3005
Ni 2.5171 3.4481 0.0000
Ni 5.9208 5.7087 5.2867
Ni 5.9208 1.7240 2.9861
```


Entry 2:
VASP calculation (PBE) on a relaxed Ac6Ni5 crystal.

Calculated values
Magnetic moment (μB per atom): 0.000
Final energy (eV/atom): -5.0683
Formation energy (eV/atom): -0.199

Structure (extended XYZ):
```
11
Lattice="-4.8337 5.0502 2.3676 -5.7375 1.8840 -4.2280 -5.4178 -3.3593 3.7223" Properties=species:S:1:pos:R:3 pbc="T T T"
Ni -7.0442 4.6234 -1.2351
Ni -5.1257 0.8454 3.0449
Ni -7.3727 0.4116 -0.6170
Ni -8.6162 3.1632 2.4789
Ni -3.5269 2.3108 -0.6253
Ac -2.6327 0.4567 1.5613
Ac -6.1245 2.6555 0.8474
Ac -6.4180 -1.4069 1.5087
Ac -7.6188 1.2342 4.5286
Ac -9.8644 0.9194 1.0145
Ac -9.5709 4.9818 0.3532
```


Entry 3:
VASP calculation (PBE) on a relaxed Ac6Ni crystal.

Calculated values
Magnetic moment (μB per atom): 0.000
Final energy (eV/atom): -4.3957
Formation energy (eV/atom): -0.048

Structure (extended XYZ):
```
28
Lattice="7.0639 0.0000 0.0000 0.0000 12.2740 0.0000 0.0000 0.0000 13.2197" Properties=species:S:1:pos:R:3 pbc="T T T"
Ac 4.1144 1.0545 3.3030
Ac 1.7396 5.2314 13.1655
Ac 1.8711 9.2055 6.6760
Ac 2.9496 7.1915 9.9167
Ac 0.5824 11.2195 3.3068
Ac 0.6585 3.0685 3.3647
Ac 6.4054 9.2055 9.8550
Ac 5.4031 3.0685 13.1536
Ac 0.5824 7.1915 3.3068
Ac 2.9496 11.2195 9.9167
Ac 1.7396 0.9056 13.1655
Ac 2.8734 3.0685 9.9746
Ac 5.1928 3.0685 6.5438
Ac 1.6609 9.2055 0.0661
Ac 5.2716 7.0426 6.6641
Ac 4.1905 9.2055 3.2452
Ac 4.1144 5.0825 3.3030
Ac 1.7923 5.2314 6.5556
Ac 6.4815 1.0545 9.9129
Ac 5.2716 11.3684 6.6641
Ac 5.3243 7.0426 0.0543
Ac 5.3243 11.3684 0.0543
Ac 6.4815 5.0825 9.9129
Ac 1.7923 0.9056 6.5556
Ni 0.6123 3.0685 8.0848
Ni 2.9197 3.0685 1.4750
Ni 6.4516 9.2055 5.1349
Ni 4.1442 9.2055 11.7448
```


Let's list Fermi-level density of states in order: 23.658 7.730 41.119 states/eV per cell.